# 1
The following is a PBE calculation of a geometry-optimized FeNiBiSe2 structure, from Alexandria via LeMat-Bulk.

Magnetization, Bohr magnetons per cell: 4.8
Space group: No. 123
Formation energy (no corrections), eV per atom: 1.382
Calculated density, Mg/m³: 5.2

Cell lengths 5.5967, 5.5967, 4.9461 Å; angles 90.00, 90.00, 90.00 degrees
Sites, in units of the cell vectors:
Fe 0.0000 0.0000 0.0000
Ni 0.5000 0.5000 0.0000
Bi 0.0000 0.0000 0.5000
Se 0.0000 0.5000 0.5000
Se 0.5000 0.0000 0.5000

# 2
The following is a PBE calculation of a geometry-optimized FeTcNiBi2 structure, from Alexandria via LeMat-Bulk.

Magnetization, Bohr magnetons per cell: 6.3
ΔH_f (0 K), eV per atom: 1.208
Space group: No. 123
Calculated density, Mg/m³: 8.9

Cell lengths 4.9668, 4.9668, 4.7615 Å; angles 90.00, 90.00, 90.00 degrees
Sites, in units of the cell vectors:
Fe 0.0000 0.0000 0.0000
Tc 0.5000 0.5000 0.0000
Ni 0.5000 0.5000 0.5000
Bi 0.0000 0.5000 0.5000
Bi 0.5000 0.0000 0.5000

# 3
The following is a PBE calculation of a geometry-optimized YFeNiBi2 structure, from Alexandria via LeMat-Bulk.

Magnetization, Bohr magnetons per cell: 3.1
ΔH_f (0 K), eV per atom: 0.218
Space group: No. 123
Calculated density, Mg/m³: 8.5

Cell lengths 5.1451, 5.1451, 4.6023 Å; angles 90.00, 90.00, 90.00 degrees
Sites, in units of the cell vectors:
Y 0.0000 0.0000 0.0000
Fe 0.5000 0.5000 0.0000
Ni 0.5000 0.5000 0.5000
Bi 0.0000 0.5000 0.5000
Bi 0.5000 0.0000 0.5000

# 4
The following is a PBE calculation of a geometry-optimized NpFe4Bi structure, from Alexandria via LeMat-Bulk.

Magnetization, Bohr magnetons per cell: 5.0
ΔH_f (0 K), eV per atom: 0.204
Space group: No. 216
Calculated density, Mg/m³: 11.7

Cell lengths 5.1173, 5.1173, 5.1173 Å; angles 60.00, 60.00, 60.00 degrees
Sites, in units of the cell vectors:
Np 0.0000 0.0000 0.0000
Fe 0.1249 0.6250 0.6250
Fe 0.6250 0.1249 0.6250
Fe 0.6250 0.6250 0.1249
Fe 0.6250 0.6250 0.6250
Bi 0.2500 0.2500 0.2500